[1]
Here is a geometry-optimized LiTi2Au6 structure from Alexandria via LeMat-Bulk. Energies are from PBE.

Properties
Magnetic moment (μB per atom): 0.00
E (eV per atom): -4.33
Excess energy over the best structure of this formula in the dataset (kJ per mole of atoms): 14.7
DOS(E_F) (states/eV/f.u.): 4.3
Energy of formation (kJ per mole of atoms): -17.1

a b c (Å): 7.576 7.576 4.690
angles (deg): 107.59 107.59 43.21
Atoms (fractional coordinates):
Li  0.000  0.000  0.000
Ti  0.323  0.323  0.222
Ti  0.677  0.677  0.778
Au  0.090  0.592  0.763
Au  0.248  0.752  0.500
Au  0.408  0.910  0.237
Au  0.592  0.090  0.763
Au  0.752  0.248  0.500
Au  0.910  0.408  0.237

[2]
Here is a geometry-optimized Li2TiAu structure from Alexandria via LeMat-Bulk. Energies are from PBE.

Properties
Magnetic moment (μB per atom): 0.00
E (eV per atom): -3.93
Excess energy over the best structure of this formula in the dataset (kJ per mole of atoms): 4.4
DOS(E_F) (states/eV/f.u.): 3.0
Energy of formation (kJ per mole of atoms): -17.3

a b c (Å): 2.762 7.003 7.005
angles (deg): 76.82 79.33 79.21
Atoms (fractional coordinates):
Li  0.003  0.277  0.224
Li  0.219  0.641  0.141
Li  0.781  0.359  0.859
Li  0.997  0.723  0.776
Ti  0.168  0.108  0.608
Ti  0.832  0.892  0.392
Au  0.500  0.000  0.000
Au  0.500  0.500  0.500